Density functional theory data (GGA-PBE) for a geometry-optimized Ba2InSbAu6 structure.

## Properties
calculated volume	303.7	Å³ per cell
E	-33.888	eV for the cell shown

Cell: 7.5449 7.5449 7.5449 Å, 60.00 60.00 90.00°
Closest atoms and distances in Å follow each position.
Fractional positions:
Ba  0.2500  0.7500  0.5000  12 Au 3.77
Ba  0.7500  0.2500  0.5000  12 Au 3.77
In  0.5000  0.5000  0.0000  6 Au 2.66
Sb  0.0000  0.0000  0.0000  6 Au 2.67
Au  0.2506  0.7494  0.0000  1 In 2.66, 1 Sb 2.67
Au  0.7494  0.7494  0.0000  1 In 2.66, 1 Sb 2.67
Au  0.2506  0.2506  0.4988  1 In 2.66, 1 Sb 2.67
Au  0.7494  0.2506  0.0000  1 In 2.66, 1 Sb 2.67
Au  0.2506  0.2506  0.0000  1 In 2.66, 1 Sb 2.67
Au  0.7494  0.7494  0.5012  1 In 2.66, 1 Sb 2.67